# 1
Here is crystalline HoGa4Ir2Os at its relaxed geometry from the Alexandria database. Energies are from PBE.

a b c (Å): 8.770 8.770 8.770
angles (deg): 28.11 28.11 28.11
Sites, in units of the cell vectors:
Ho 0.000 0.000 0.000
Ga 0.132 0.132 0.132
Ga 0.398 0.398 0.398
Ga 0.602 0.602 0.602
Ga 0.868 0.868 0.868
Ir 0.242 0.242 0.242
Ir 0.758 0.758 0.758
Os 0.500 0.500 0.500

## Properties
As for the space group: R-3m, No. 166. Its formation energy is -419 meV per atom.



# 2
Here is crystalline CdRh2O6 at its relaxed geometry from the Alexandria database. Energies are from PBE.

a b c (Å): 5.254 5.254 4.680
angles (deg): 90.00 90.00 120.00
Sites, in units of the cell vectors:
Cd 0.000 0.000 0.000
Rh 0.333 0.667 0.500
Rh 0.667 0.333 0.500
O 0.000 0.372 0.727
O 0.000 0.628 0.273
O 0.372 0.000 0.727
O 0.372 0.372 0.273
O 0.628 0.000 0.273
O 0.628 0.628 0.727

## Properties
As for the energy above the most stable polymorph in this dataset: 0 meV per atom. As for the space group: P-31m, No. 162. The formation energy from raw total energies is -0.644 eV/atom.



# 3
Here is crystalline LaZrSe2O at its relaxed geometry from the Alexandria database. Energies are from PBE.

a b c (Å): 3.972 3.972 13.956
angles (deg): 90.00 90.00 90.00
Sites, in units of the cell vectors:
La 0.250 0.250 0.092
La 0.750 0.750 0.908
Zr 0.250 0.250 0.598
Zr 0.750 0.750 0.402
Se 0.250 0.250 0.396
Se 0.250 0.250 0.784
Se 0.750 0.750 0.216
Se 0.750 0.750 0.604
O 0.250 0.750 0.000
O 0.750 0.250 0.000

## Properties
As for the space group: P4/nmm, No. 129. The formation energy from raw total energies is -2.151 eV/atom.



In the order shown, the computed E_tot values come out to -6.124 -5.685 -7.232 eV/atom.